{"formula": "BeRhI2", "functional": "GGA-PBE", "state": "relaxed", "lattice": [[-2.989, 2.989, 5.659], [2.989, -2.989, 5.659], [2.989, 2.989, -5.659]], "species": ["Be", "Be", "Rh", "Rh", "I", "I", "I", "I"], "fractional_positions": [[0.000, 0.000, 0.000], [0.750, 0.250, 0.500], [0.250, 0.750, 0.500], [0.500, 0.500, 0.000], [0.096, 0.625, 0.971], [0.375, 0.346, 0.471], [0.654, 0.125, 0.029], [0.875, 0.904, 0.529]], "total_magnetization_mub_per_cell": 2.0, "raw_formation_energy_mev_per_atom": 283.7, "crystal_system": "tetragonal", "final_energy_ev_per_cell": -26.09}